(1)
First-principles (GGA-PBE) data for K3Tc after structural relaxation, as listed in Alexandria.

CIF file:
```
data_K3Tc
_chemical_formula_sum 'K6 Tc2'
_cell_length_a 3.492
_cell_length_b 17.928
_cell_length_c 6.188
_cell_angle_alpha 90.00
_cell_angle_beta 90.00
_cell_angle_gamma 90.00
_symmetry_space_group_name_H-M 'I m m 2'
_symmetry_Int_Tables_number 44
_symmetry_space_group_name_Hall 'I 2 -2'
loop_
_atom_site_label
_atom_site_fract_x
_atom_site_fract_y
_atom_site_fract_z
K1 0.000 0.000 0.000
K2 0.000 0.167 0.501
Tc1 0.000 0.500 0.000
```

Calculated values
V: 48.426 Å³ per atom
Energy above the most stable polymorph in this dataset: 23.9 meV/atom
Total magnetic moment: 0.73 μB per atom

(2)
First-principles (GGA-PBE) data for K3Tc after structural relaxation, as listed in Alexandria.

CIF file:
```
data_K3Tc
_chemical_formula_sum 'K3 Tc1'
_cell_length_a 3.798
_cell_length_b 3.798
_cell_length_c 12.569
_cell_angle_alpha 90.00
_cell_angle_beta 90.00
_cell_angle_gamma 90.00
_symmetry_space_group_name_H-M 'P 4/m m m'
_symmetry_Int_Tables_number 123
_symmetry_space_group_name_Hall '-P 4 2'
loop_
_atom_site_label
_atom_site_fract_x
_atom_site_fract_y
_atom_site_fract_z
K1 0.000 0.000 0.000
K2 0.500 0.500 0.319
Tc1 0.000 0.000 0.500
```

Calculated values
V: 45.319 Å³ per atom
Energy above the most stable polymorph in this dataset: 0.0 meV/atom
Total magnetic moment: 0.79 μB per atom

(3)
First-principles (GGA-PBE) data for K2TcTe after structural relaxation, as listed in Alexandria.

CIF file:
```
data_K2TcTe
_chemical_formula_sum 'K2 Tc1 Te1'
_cell_length_a 5.533
_cell_length_b 4.505
_cell_length_c 6.709
_cell_angle_alpha 90.00
_cell_angle_beta 114.18
_cell_angle_gamma 90.00
_symmetry_space_group_name_H-M 'P 1 m 1'
_symmetry_Int_Tables_number 6
_symmetry_space_group_name_Hall 'P -2y'
loop_
_atom_site_label
_atom_site_fract_x
_atom_site_fract_y
_atom_site_fract_z
K1 0.000 0.000 0.000
K2 0.296 0.500 0.581
Tc1 0.704 0.000 0.393
Te1 0.588 0.500 0.181
```

Calculated values
V: 38.137 Å³ per atom
Uncorrected energy: -3.5899 eV/atom
Total magnetic moment: 0.54 μB per atom